Computed, not measured: crystalline Er5CuTe5 at its relaxed geometry at the PBE level of DFT.

Its total energy is -4.95 eV/atom. As for the size of the total moment: 0.00 μB per cell. Its formation energy from raw total energies is -1.078 eV/atom.

Unit cell a=13.5938 b=6.0759 c=8.4646 alpha=90.00 beta=108.89 gamma=90.00
Space group C2/m (No. 12)
Inequivalent atoms, fractional coordinates:
Er (0.0000, 0.0000, 0.0000) x2
Er (0.1552, 0.5000, 0.3165) x4
Er (0.1555, 0.5000, 0.8442) x4
Cu (0.0000, 0.5000, 0.0000) x2
Te (0.0000, 0.5000, 0.5000) x2
Te (0.1637, 0.0000, 0.8235) x4
Te (0.1786, 0.0000, 0.3354) x4